<w>
Here is Bi2MoH2 after structural relaxation from Alexandria. Energies are from PBE.

The magnetic moment is 0.000 μB per atom.

a b c (Å): 7.1771 7.1771 7.1771
angles (deg): 152.38 152.38 39.46
Fractional positions:
Bi 0.1286 0.1286 0.0000
Bi 0.8714 0.8714 0.0000
Mo 0.5000 0.5000 0.0000
H 0.2500 0.7500 0.5000
H 0.7500 0.2500 0.5000


<x>
Here is Bi2MoH2 after structural relaxation from Alexandria. Energies are from PBE.

The magnetic moment is 0.000 μB per atom.

a b c (Å): 7.9108 7.9108 3.0305
angles (deg): 90.00 90.00 90.00
Fractional positions:
Bi 0.2504 0.2496 0.0000
Bi 0.2496 0.7496 0.0000
Bi 0.7504 0.2504 0.0000
Bi 0.7496 0.7504 0.0000
Mo 0.0000 0.0000 0.0000
Mo 0.5000 0.5000 0.0000
H 0.0343 0.4657 0.5000
H 0.4657 0.9657 0.5000
H 0.5343 0.0343 0.5000
H 0.9657 0.5343 0.5000


Structures ranked by computed energy, the most stable listed first: <x>, <w>.